Entry 1:
La2NdDyH | PBE-GGA | optimized geometry

The total moment is 0.00 Bohr magnetons per cell. The electronic total energy is -4.692 eV/atom.

The structure belongs to space group P4/mmm (No. 123); the cell edges are 5.222, 5.222 and 5.113 Å and the angles 90.00°, 90.00° and 90.00°. Symmetry generates all atoms from La at (0.000, 0.500, 0.000), Nd at (0.000, 0.000, 0.500), Dy at (0.500, 0.500, 0.500) and H at (0.500, 0.500, 0.000).



Entry 2:
AcPrCuO4 | PBE-GGA | optimized geometry

The uncorrected formation energy is -2.50 eV per atom. The total moment is 0.03 Bohr magnetons per cell. The electronic total energy is -7.186 eV/atom.

The structure belongs to space group I4mm (No. 107); the cell edges are 3.825, 3.825 and 13.475 Å and the angles 90.00°, 90.00° and 90.00°. Symmetry generates all atoms from Ac at (0.000, 0.000, 0.000), Pr at (0.000, 0.000, 0.724), Cu at (0.000, 0.000, 0.353), O at (0.000, 0.000, 0.179), O at (0.000, 0.000, 0.547) and O at (0.000, 0.500, 0.354).



Entry 3:
Th4HN3 | PBE-GGA | optimized geometry

The total moment is 0.83 Bohr magnetons per cell. The electronic total energy is -8.409 eV/atom.

The structure belongs to space group Pm-3m (No. 221); the cell edges are 5.166, 5.166 and 5.166 Å and the angles 90.00°, 90.00° and 90.00°. Symmetry generates all atoms from Th at (0.000, 0.000, 0.000), Th at (0.000, 0.500, 0.500), H at (0.500, 0.500, 0.500) and N at (0.000, 0.000, 0.500).